[1]
The following is a DFT calculation (PBE) of an optimized crystal structure of MgGeS2.

Cell lengths 7.633, 7.633, 7.633 Å; angles 28.75, 28.75, 28.75 degrees
Element x y z (fractional)
Mg 0.000 0.000 0.000
Ge 0.500 0.500 0.500
S 0.393 0.393 0.393
S 0.607 0.607 0.607

Values from the calculation:
The total magnetization comes out at 0.000 μB/atom. As for the crystal system: trigonal. Its space group is No. 166. For the energy relative to the elements, uncorrected, the calculation gives -376 meV/atom. Its total energy is -0.147 hartree per atom.

[2]
The following is a DFT calculation (PBE) of an optimized crystal structure of Mg2GeS4.

Cell lengths 12.917, 7.510, 6.061 Å; angles 90.00, 90.00, 90.00 degrees
Element x y z (fractional)
Mg 0.000 0.000 0.000
Mg 0.000 0.500 0.000
Mg 0.231 0.250 0.497
Mg 0.269 0.750 0.997
Mg 0.500 0.000 0.500
Mg 0.500 0.500 0.500
Mg 0.731 0.250 0.003
Mg 0.769 0.750 0.503
Ge 0.089 0.750 0.414
Ge 0.411 0.250 0.914
Ge 0.589 0.750 0.086
Ge 0.911 0.250 0.586
S 0.069 0.250 0.745
S 0.093 0.750 0.779
S 0.167 0.518 0.249
S 0.167 0.982 0.249
S 0.333 0.018 0.749
S 0.333 0.482 0.749
S 0.407 0.250 0.279
S 0.431 0.750 0.245
S 0.569 0.250 0.755
S 0.593 0.750 0.721
S 0.667 0.518 0.251
S 0.667 0.982 0.251
S 0.833 0.018 0.751
S 0.833 0.482 0.751
S 0.907 0.250 0.221
S 0.931 0.750 0.255

Values from the calculation:
The total magnetization comes out at 0.000 μB/atom. As for the crystal system: orthorhombic. Its space group is No. 62. For the energy relative to the elements, uncorrected, the calculation gives -989 meV/atom. Its total energy is -0.164 hartree per atom.

[3]
The following is a DFT calculation (PBE) of an optimized crystal structure of MgGeS3.

Cell lengths 6.609, 6.609, 10.833 Å; angles 93.86, 93.86, 31.57 degrees
Element x y z (fractional)
Mg 0.145 0.145 0.407
Mg 0.855 0.855 0.593
Ge 0.419 0.419 0.236
Ge 0.581 0.581 0.764
S 0.144 0.144 0.875
S 0.346 0.346 0.422
S 0.407 0.407 0.745
S 0.593 0.593 0.255
S 0.654 0.654 0.578
S 0.856 0.856 0.125

Values from the calculation:
The total magnetization comes out at 0.000 μB/atom. As for the crystal system: monoclinic. Its space group is No. 12. For the energy relative to the elements, uncorrected, the calculation gives -719 meV/atom. Its total energy is -0.163 hartree per atom.

> Look up the energy relative to the elements, uncorrected of the second one.

-989 meV/atom

> energy relative to the elements, uncorrected of number 2 (Mg2GeS4)?

-989 meV/atom